(1)
First-principles (GGA-PBEsol) data for a geometry-optimized LaAl10Cu2 structure, as listed in Alexandria.

abc: 9.1704 7.2126 6.7369
angles: 82.13 51.18 46.69
Positions (direct):
1 La 0.0000 0.0000 0.0000
2 Al 0.0000 0.0000 0.5000
3 Al 0.0087 0.3524 0.6476
4 Al 0.2729 0.4894 0.5106
5 Al 0.3524 0.0087 0.9913
6 Al 0.4894 0.2729 0.7271
7 Al 0.5000 0.5000 0.0000
8 Al 0.5106 0.7271 0.2729
9 Al 0.6476 0.9913 0.0087
10 Al 0.7271 0.5106 0.4894
11 Al 0.9913 0.6476 0.3524
12 Cu 0.0000 0.5000 0.0000
13 Cu 0.5000 0.0000 0.5000

- calculated volume (Å³/atom) = 16.64
- SG = Fmmm

(2)
First-principles (GGA-PBEsol) data for a geometry-optimized Bi3RuI structure, as listed in Alexandria.

abc: 5.7493 5.7493 5.7493
angles: 90.00 90.00 90.00
Positions (direct):
1 Bi 0.0000 0.0000 0.5000
2 Bi 0.0000 0.5000 0.0000
3 Bi 0.5000 0.0000 0.0000
4 Ru 0.5000 0.5000 0.5000
5 I 0.0000 0.0000 0.0000

- raw formation energy (eV per atom) = 1.950
- calculated volume (Å³/atom) = 38.01
- SG = Pm-3m

(3)
First-principles (GGA-PBEsol) data for a geometry-optimized CaTl2Pb structure, as listed in Alexandria.

abc: 3.7444 4.3596 6.8985
angles: 90.00 90.00 90.00
Positions (direct):
1 Ca 0.0000 0.0000 0.0000
2 Tl 0.0000 0.0000 0.5049
3 Tl 0.5000 0.5000 0.7444
4 Pb 0.5000 0.5000 0.2606

- calculated volume (Å³/atom) = 28.15
- SG = Pmm2

(4)
First-principles (GGA-PBEsol) data for a geometry-optimized Zn3AsI structure, as listed in Alexandria.

abc: 5.1411 5.1411 5.1411
angles: 90.00 90.00 90.00
Positions (direct):
1 Zn 0.0000 0.0000 0.5000
2 Zn 0.0000 0.5000 0.0000
3 Zn 0.5000 0.0000 0.0000
4 As 0.5000 0.5000 0.5000
5 I 0.0000 0.0000 0.0000

- raw formation energy (eV per atom) = 1.059
- calculated volume (Å³/atom) = 27.18
- SG = Pm-3m

(5)
First-principles (GGA-PBEsol) data for a geometry-optimized RbTcSn2Pb structure, as listed in Alexandria.

abc: 5.7109 5.7109 5.7438
angles: 90.00 90.00 90.00
Positions (direct):
1 Rb 0.0000 0.0000 0.0000
2 Tc 0.5000 0.5000 0.5000
3 Sn 0.0000 0.5000 0.0000
4 Sn 0.5000 0.0000 0.0000
5 Pb 0.0000 0.0000 0.5000

- calculated volume (Å³/atom) = 37.47
- SG = P4/mmm

(6)
First-principles (GGA-PBEsol) data for a geometry-optimized CaRuPt2 structure, as listed in Alexandria.

abc: 3.2963 3.2963 6.3927
angles: 90.00 90.00 90.00
Positions (direct):
1 Ca 0.0000 0.0000 0.0000
2 Ru 0.5000 0.5000 0.6910
3 Pt 0.0000 0.0000 0.5108
4 Pt 0.5000 0.5000 0.2758

- calculated volume (Å³/atom) = 17.37
- SG = P4mm

(7)
First-principles (GGA-PBEsol) data for a geometry-optimized BaLa3H structure, as listed in Alexandria.

abc: 5.9217 5.9217 5.9217
angles: 90.00 90.00 90.00
Positions (direct):
1 Ba 0.0000 0.0000 0.0000
2 La 0.0000 0.0000 0.5000
3 La 0.0000 0.5000 0.0000
4 La 0.5000 0.0000 0.0000
5 H 0.5000 0.5000 0.5000

- calculated volume (Å³/atom) = 41.53
- SG = Pm-3m

(8)
First-principles (GGA-PBEsol) data for a geometry-optimized NiRh2Cl structure, as listed in Alexandria.

abc: 6.0015 6.0015 6.0015
angles: 90.00 90.00 90.00
Positions (direct):
1 Ni 0.0000 0.0000 0.0000
2 Ni 0.0000 0.5000 0.5000
3 Ni 0.5000 0.0000 0.5000
4 Ni 0.5000 0.5000 0.0000
5 Rh 0.0000 0.0000 0.5000
6 Rh 0.0000 0.5000 0.0000
7 Rh 0.2500 0.2500 0.2500
8 Rh 0.2500 0.7500 0.7500
9 Rh 0.5000 0.0000 0.0000
10 Rh 0.5000 0.5000 0.5000
11 Rh 0.7500 0.2500 0.7500
12 Rh 0.7500 0.7500 0.2500
13 Cl 0.2500 0.2500 0.7500
14 Cl 0.2500 0.7500 0.2500
15 Cl 0.7500 0.2500 0.2500
16 Cl 0.7500 0.7500 0.7500

- raw formation energy (eV per atom) = 0.674
- calculated volume (Å³/atom) = 13.51
- SG = F-43m

(9)
First-principles (GGA-PBEsol) data for a geometry-optimized NbO2F structure, as listed in Alexandria.

abc: 4.7412 5.0435 8.8750
angles: 90.00 90.00 90.00
Positions (direct):
1 Nb 0.2117 0.2340 0.3461
2 Nb 0.2883 0.7660 0.8461
3 Nb 0.7117 0.2660 0.6539
4 Nb 0.7883 0.7340 0.1539
5 O 0.0015 0.8786 0.9976
6 O 0.0078 0.4341 0.1856
7 O 0.4922 0.5659 0.6856
8 O 0.4985 0.1214 0.4976
9 O 0.5015 0.6214 0.0024
10 O 0.5078 0.0659 0.8144
11 O 0.9922 0.9341 0.3144
12 O 0.9985 0.3786 0.5024
13 F 0.0012 0.4509 0.8089
14 F 0.4988 0.5491 0.3089
15 F 0.5012 0.0491 0.1911
16 F 0.9988 0.9509 0.6911

- raw formation energy (eV per atom) = -2.676
- calculated volume (Å³/atom) = 13.26
- SG = P2_12_12_1

(10)
First-principles (GGA-PBEsol) data for a geometry-optimized Ba3CoIr2O9 structure, as listed in Alexandria.

abc: 5.7071 5.7071 14.1829
angles: 90.00 90.00 120.00
Positions (direct):
1 Ba 0.0000 0.0000 0.2500
2 Ba 0.0000 0.0000 0.7500
3 Ba 0.3333 0.6667 0.0860
4 Ba 0.3333 0.6667 0.4140
5 Ba 0.6667 0.3333 0.5860
6 Ba 0.6667 0.3333 0.9140
7 Co 0.0000 0.0000 0.0000
8 Co 0.0000 0.0000 0.5000
9 Ir 0.3333 0.6667 0.6550
10 Ir 0.3333 0.6667 0.8450
11 Ir 0.6667 0.3333 0.1550
12 Ir 0.6667 0.3333 0.3450
13 O 0.0259 0.5130 0.7500
14 O 0.1667 0.3334 0.5798
15 O 0.1667 0.3334 0.9202
16 O 0.1667 0.8333 0.5798
17 O 0.1667 0.8333 0.9202
18 O 0.3334 0.1667 0.0798
19 O 0.3334 0.1667 0.4202
20 O 0.4870 0.5130 0.7500
21 O 0.4870 0.9741 0.7500
22 O 0.5130 0.0259 0.2500
23 O 0.5130 0.4870 0.2500
24 O 0.6666 0.8333 0.5798
25 O 0.6666 0.8333 0.9202
26 O 0.8333 0.1667 0.0798
27 O 0.8333 0.1667 0.4202
28 O 0.8333 0.6666 0.0798
29 O 0.8333 0.6666 0.4202
30 O 0.9741 0.4870 0.2500

- raw formation energy (eV per atom) = -1.664
- calculated volume (Å³/atom) = 13.34
- SG = P6_3/mmc

(11)
First-principles (GGA-PBEsol) data for a geometry-optimized Be2RePd structure, as listed in Alexandria.

abc: 5.9959 5.9959 5.2981
angles: 90.00 90.00 90.00
Positions (direct):
1 Be 0.2375 0.2500 0.1250
2 Be 0.2500 0.7375 0.3750
3 Be 0.2500 0.7625 0.8750
4 Be 0.2625 0.2500 0.6250
5 Be 0.7375 0.7500 0.6250
6 Be 0.7500 0.2375 0.8750
7 Be 0.7500 0.2625 0.3750
8 Be 0.7625 0.7500 0.1250
9 Re 0.0000 0.0000 0.5000
10 Re 0.0000 0.5000 0.7500
11 Re 0.5000 0.0000 0.2500
12 Re 0.5000 0.5000 0.0000
13 Pd 0.0000 0.0000 0.0000
14 Pd 0.0000 0.5000 0.2500
15 Pd 0.5000 0.0000 0.7500
16 Pd 0.5000 0.5000 0.5000

- calculated volume (Å³/atom) = 11.90
- SG = I-42d

(12)
First-principles (GGA-PBEsol) data for a geometry-optimized Zn2TcAg structure, as listed in Alexandria.

abc: 5.6907 7.5800 2.6488
angles: 90.00 90.00 90.00
Positions (direct):
1 Zn 0.2500 0.2500 0.0000
2 Zn 0.2500 0.7500 0.0000
3 Zn 0.7500 0.2500 0.0000
4 Zn 0.7500 0.7500 0.0000
5 Tc 0.0000 0.0000 0.5000
6 Tc 0.5000 0.5000 0.5000
7 Ag 0.0000 0.5000 0.5000
8 Ag 0.5000 0.0000 0.5000

- calculated volume (Å³/atom) = 14.28
- SG = Cmmm

(13)
First-principles (GGA-PBEsol) data for a geometry-optimized LiY2ScTe structure, as listed in Alexandria.

abc: 5.4650 5.4650 5.3663
angles: 90.00 90.00 90.00
Positions (direct):
1 Li 0.0000 0.0000 0.0000
2 Y 0.0000 0.5000 0.5000
3 Y 0.5000 0.0000 0.5000
4 Sc 0.5000 0.5000 0.5000
5 Te 0.5000 0.5000 0.0000

- raw formation energy (eV per atom) = 0.326
- calculated volume (Å³/atom) = 32.05
- SG = P4/mmm

no.,E (eV/atom)
1,-4.430
2,-3.009
3,-3.086
4,-1.265
5,-2.737
6,-6.478
7,-2.993
8,-5.437
9,-8.488
10,-7.069
11,-6.476
12,-4.339
13,-4.823